First-principles (PBE) data for CsK2BaSe after structural relaxation, as listed in the Alexandria database.

abc: 6.865 6.865 6.399
angles: 90.00 90.00 90.00
Space group P4/mmm (No. 123)
Asymmetric unit:
Cs1 0.000 0.000 0.000 [1 per cell]
K1 0.000 0.500 0.500 [2 per cell]
Ba1 0.500 0.500 0.000 [1 per cell]
Se1 0.500 0.500 0.500 [1 per cell]

Properties
**Density of states at the Fermi level**: 3.07 states/eV/cell
**E_form (uncorrected)**: -0.59 eV/atom
**Energy above the lowest structure with this stoichiometry**: 0.00 eV/f.u.